# ZrTlCu

Crystalline ZrTlCu at its relaxed geometry (GGA-PBE, Alexandria via LeMat-Bulk).

Structure (CIF):
```
data_ZrTlCu
_chemical_formula_sum 'Zr4 Tl4 Cu4'
_cell_length_a 9.4733
_cell_length_b 4.2063
_cell_length_c 6.8696
_cell_angle_alpha 90.00
_cell_angle_beta 118.14
_cell_angle_gamma 90.00
_space_group_name_H-M_alt 'C 1 m 1'
_space_group_IT_number 8
_space_group_name_Hall 'C -2y'
loop_
_atom_site_label
_atom_site_type_symbol
_atom_site_fract_x
_atom_site_fract_y
_atom_site_fract_z
Zr1 Zr 0.0000 0.0000 0.0000
Zr2 Zr 0.2490 0.5000 0.4150
Tl1 Tl 0.1518 0.0000 0.6742
Tl2 Tl 0.3875 0.0000 0.2290
Cu1 Cu 0.1973 0.5000 0.9930
Cu2 Cu 0.4414 0.0000 0.6638
```

Results
* raw total energy: -4.954 eV per atom
* ΔE_f: 4.8 kJ/mol of atoms
* theoretical density: 9.88 g/cm3
* spin magnetization: 0.00 μB/f.u.